AcPt2Pb2 PBE optimized geometry; V = 259.1 Å³/cell; total DFT energy (no corrections) = -53.22 eV/cell; ΔH_f (0 K) = -601 meV/atom; offset from the most stable computed form = 0.0 meV per atom
1.0
-4.663 0.662 0.352
-0.777 -3.696 -3.346
-0.397 -7.145 8.189
Pt Pb Ac
4 4 2
direct
0.750 0.666 0.004
0.750 0.266 0.364
0.250 0.334 0.996
0.250 0.734 0.636
0.750 0.763 0.494
0.750 0.166 0.116
0.250 0.237 0.506
0.250 0.834 0.884
0.750 0.313 0.763
0.250 0.687 0.237

AcPtPb PBE optimized geometry; V = 498.0 Å³/cell; total DFT energy (no corrections) = -97.95 eV/cell; ΔH_f (0 K) = -823 meV/atom; offset from the most stable computed form = 0.0 meV per atom
1.0
4.286 0.000 0.000
0.000 8.047 0.000
0.000 0.000 14.436
Pt Ac Pb
6 6 6
direct
0.000 0.446 0.750
0.500 0.939 0.906
0.500 0.939 0.594
0.500 0.061 0.406
0.000 0.554 0.250
0.500 0.061 0.094
0.000 0.232 0.546
0.000 0.143 0.250
0.000 0.857 0.750
0.000 0.232 0.954
0.000 0.768 0.046
0.000 0.768 0.454
0.500 0.567 0.628
0.500 0.201 0.750
0.500 0.567 0.872
0.500 0.433 0.372
0.500 0.799 0.250
0.500 0.433 0.128